(i)
Density functional theory data (PBE) for a relaxed AcMg3Bi3 crystal.

## Properties
Its space group is Pm-3n.

```
AcMg3Bi3
1.0
7.992 0.000 0.000
0.000 7.992 0.000
0.000 0.000 7.992
Ac Mg Bi
2 6 6
Cartesian
0.000 0.000 0.000 Ac
3.996 3.996 3.996 Ac
0.000 1.998 3.996 Mg
0.000 5.994 3.996 Mg
1.998 3.996 0.000 Mg
3.996 0.000 1.998 Mg
3.996 0.000 5.994 Mg
5.994 3.996 0.000 Mg
0.000 3.996 1.998 Bi
0.000 3.996 5.994 Bi
1.998 0.000 3.996 Bi
3.996 1.998 0.000 Bi
3.996 5.994 0.000 Bi
5.994 0.000 3.996 Bi
```

---

(ii)
Density functional theory data (PBE) for a relaxed AcMg3Bi3 crystal.

## Properties
Its space group is R-3.

```
AcMg3Bi3
1.0
4.202 2.426 7.920
-4.202 2.426 7.920
0.000 -4.852 7.920
Ac Mg Bi
2 6 6
Cartesian
0.000 0.000 3.955 Ac
0.000 0.000 19.805 Ac
-1.422 -2.477 8.916 Mg
-2.856 -0.007 14.843 Mg
-1.435 2.470 8.916 Mg
1.435 -2.470 14.843 Mg
2.856 0.007 8.916 Mg
1.422 2.477 14.843 Mg
-2.735 -0.004 9.939 Bi
-1.364 -2.371 13.821 Bi
1.371 -2.366 9.939 Bi
-1.371 2.366 13.821 Bi
1.364 2.371 9.939 Bi
2.735 0.004 13.821 Bi
```

---

The most stable structure shown above is (ii); the least stable is (i).